Record 1
HfUSe4: optimized geometry, PBE.

For the formation energy from raw total energies, the calculation gives -1.219 eV per atom. The crystal system is monoclinic.

Unit cell a=13.967 b=3.931 c=6.847 alpha=90.00 beta=98.92 gamma=90.00
Fractional coordinates of all 12 atoms:
Hf 0.000 0.000 0.000
Hf 0.500 0.500 0.000
U 0.000 0.500 0.500
U 0.500 0.000 0.500
Se 0.111 0.500 0.880
Se 0.114 0.000 0.352
Se 0.386 0.500 0.648
Se 0.389 0.000 0.120
Se 0.611 0.000 0.880
Se 0.614 0.500 0.352
Se 0.886 0.000 0.648
Se 0.889 0.500 0.120

***

Record 2
AcGeAu2: optimized geometry, PBE.

For the formation energy from the elements, the calculation gives -2.69 eV per formula unit. The crystal system is orthorhombic.

Unit cell a=10.462 b=10.462 c=10.462 alpha=154.52 beta=127.19 gamma=59.53
Fractional coordinates of all 16 atoms:
Ac 0.218 0.218 0.000
Ac 0.259 0.000 0.259
Ac 0.741 0.000 0.741
Ac 0.782 0.782 0.000
Ge 0.093 0.355 0.738
Ge 0.384 0.645 0.738
Ge 0.616 0.355 0.262
Ge 0.907 0.645 0.262
Au 0.075 0.575 0.500
Au 0.168 0.822 0.346
Au 0.422 0.422 0.000
Au 0.477 0.822 0.654
Au 0.523 0.178 0.346
Au 0.578 0.578 0.000
Au 0.832 0.178 0.654
Au 0.925 0.425 0.500

***

Number 1: E_tot -7.082 eV/atom. Number 2: E_tot -4.492 eV/atom.